1.
# Nb3TcAg PBE relaxed
# size of the total moment	0.00	μB/f.u.
# polymorph energy (0 for the lowest one)	0.00	eV per formula unit
# crystal system	cubic
data_Nb3TcAg
_symmetry_space_group_name_H-M 'P m -3 m'
_symmetry_Int_Tables_number 221
_symmetry_space_group_name_Hall '-P 4 2 3'
_cell_length_a 4.8085
_cell_length_b 4.8085
_cell_length_c 4.8085
_cell_angle_alpha 90.00
_cell_angle_beta 90.00
_cell_angle_gamma 90.00
loop_
_atom_site_label
_atom_site_fract_x
_atom_site_fract_y
_atom_site_fract_z
Nb1 0.0000 0.0000 0.5000
Tc1 0.0000 0.0000 0.0000
Ag1 0.5000 0.5000 0.5000

---

2.
# Tm4AgRu2Pt PBE relaxed
# E_tot	-151.56	eV for the cell shown
# size of the total moment	0.00	μB/f.u.
# crystal system	trigonal
data_Tm4AgRu2Pt
_symmetry_space_group_name_H-M 'R -3 m'
_symmetry_Int_Tables_number 166
_symmetry_space_group_name_Hall '-R 3 2"'
_cell_length_a 4.8397
_cell_length_b 4.8397
_cell_length_c 23.7894
_cell_angle_alpha 90.00
_cell_angle_beta 90.00
_cell_angle_gamma 120.00
loop_
_atom_site_label
_atom_site_fract_x
_atom_site_fract_y
_atom_site_fract_z
Tm1 0.0000 0.0000 0.1227
Tm2 0.0000 0.0000 0.3732
Ag1 0.0000 0.0000 0.5000
Ru1 0.0000 0.0000 0.2496
Pt1 0.0000 0.0000 0.0000

---

3.
# ScTiSbF2 PBE relaxed
# raw formation energy	-9.1	eV/f.u.
# size of the total moment	1.94	μB/f.u.
# crystal system	tetragonal
data_ScTiSbF2
_symmetry_space_group_name_H-M 'P 4/m m m'
_symmetry_Int_Tables_number 123
_symmetry_space_group_name_Hall '-P 4 2'
_cell_length_a 4.0551
_cell_length_b 4.0551
_cell_length_c 5.9999
_cell_angle_alpha 90.00
_cell_angle_beta 90.00
_cell_angle_gamma 90.00
loop_
_atom_site_label
_atom_site_fract_x
_atom_site_fract_y
_atom_site_fract_z
Sc1 0.0000 0.0000 0.0000
Ti1 0.5000 0.5000 0.5000
Sb1 0.5000 0.5000 0.0000
F1 0.0000 0.5000 0.5000

---

4.
# Li2MgTl6 PBE relaxed
# size of the total moment	0.00	μB/f.u.
# polymorph energy (0 for the lowest one)	0.00	eV per formula unit
# crystal system	tetragonal
data_Li2MgTl6
_symmetry_space_group_name_H-M 'P 42/m n m'
_symmetry_Int_Tables_number 136
_symmetry_space_group_name_Hall '-P 4n 2n'
_cell_length_a 9.7858
_cell_length_b 9.7858
_cell_length_c 4.8670
_cell_angle_alpha 90.00
_cell_angle_beta 90.00
_cell_angle_gamma 90.00
loop_
_atom_site_label
_atom_site_fract_x
_atom_site_fract_y
_atom_site_fract_z
Li1 0.1989 0.1989 0.0000
Mg1 0.0000 0.0000 0.5000
Tl1 0.0273 0.3247 0.5000
Tl2 0.1339 0.8661 0.0000

---

5.
# CeSmSi PBE relaxed
# raw formation energy	-1.0	eV/f.u.
# size of the total moment	0.80	μB/f.u.
# polymorph energy (0 for the lowest one)	0.67	eV per formula unit
# crystal system	cubic
data_CeSmSi
_symmetry_space_group_name_H-M 'F -4 3 m'
_symmetry_Int_Tables_number 216
_symmetry_space_group_name_Hall 'F -4 2 3'
_cell_length_a 6.9815
_cell_length_b 6.9815
_cell_length_c 6.9815
_cell_angle_alpha 90.00
_cell_angle_beta 90.00
_cell_angle_gamma 90.00
loop_
_atom_site_label
_atom_site_fract_x
_atom_site_fract_y
_atom_site_fract_z
Ce1 0.0000 0.0000 0.0000
Sm1 0.0000 0.0000 0.5000
Si1 0.2500 0.2500 0.2500

---

6.
# Nb2Sn2O7 PBE relaxed
# raw formation energy	-22.5	eV/f.u.
# size of the total moment	0.00	μB/f.u.
# polymorph energy (0 for the lowest one)	0.00	eV per formula unit
# crystal system	monoclinic
data_Nb2Sn2O7
_symmetry_space_group_name_H-M 'C 1 2/m 1'
_symmetry_Int_Tables_number 12
_cell_length_a 8.1216
_cell_length_b 7.6142
_cell_length_c 5.4737
_cell_angle_alpha 90.00
_cell_angle_beta 94.70
_cell_angle_gamma 90.00
loop_
_symmetry_equiv_pos_as_xyz
'x,y,z'
'-x,-y,-z'
'-x,y,-z'
'x,-y,z'
'x+1/2,y+1/2,z'
'-x+1/2,-y+1/2,-z'
'-x+1/2,y+1/2,-z'
'x+1/2,-y+1/2,z'
loop_
_atom_site_label
_atom_site_fract_x
_atom_site_fract_y
_atom_site_fract_z
Nb1 0.2417 0.0000 0.4900
Sn1 0.0000 0.2710 0.0000
O1 0.0000 0.0000 0.5000
O2 0.1122 0.5000 0.2100
O3 0.2033 0.3158 0.7095